CrOsN2O, optimized geometry, DFT PBE+U; E = -6.693 eV per atom; density of states at the Fermi level = 5.0 states/eV/cell; total magnetization = 1.97 μB/f.u.
1.0
3.8572 0.0000 0.0000
0.0000 3.8572 0.0000
0.0000 0.0000 3.5186
O Os N Cr
1 1 2 1
Direct
0.0000 0.0000 0.5000
0.5000 0.5000 0.5000
0.0000 0.5000 0.0000
0.5000 0.0000 0.0000
0.0000 0.0000 0.0000